PSe2Cl PBE-GGA optimized geometry; energy above the lowest structure with this stoichiometry = 259 meV/atom; raw formation energy = 5.8 kJ per mole of atoms; E = -3.4962 eV/atom; density = 3.15 Mg/m³; density of states at the Fermi level = 0.138 states/eV/atom
1.0
-3.1169 -2.3485 -0.2542
0.8882 -0.7752 -3.7300
4.3312 -5.9947 2.2772
Cl P Se
1 1 2
direct
0.0000 0.0000 0.5675
0.5000 0.5000 0.9057
0.0000 0.0000 0.8504
0.5000 0.5000 0.1765